Entry 1:
This record from the Alexandria database describes a relaxed Fe2ReW crystal. The functional is PBE-GGA.

Lattice parameters (Å, degrees): 3.7768 3.7768 3.6544 90.00 90.00 90.00
Closest atoms and distances in Å follow each position.
Sites, in units of the cell vectors:
Fe1 0.0000 0.5000 0.0000  4 Re 2.63, 4 W 2.63, 4 Fe 2.67
Fe2 0.5000 0.0000 0.0000  4 Re 2.63, 4 W 2.63, 4 Fe 2.67
Re1 0.0000 0.0000 0.5000  8 Fe 2.63, 4 W 2.67
W1 0.5000 0.5000 0.5000  8 Fe 2.63, 4 Re 2.67

Summary:
Uncorrected energy: -10.4883 eV/atom
Volume: 13.0 A^3/atom

***

Entry 2:
This record from the Alexandria database describes a relaxed FeReW2 crystal. The functional is PBE-GGA.

Lattice parameters (Å, degrees): 2.6925 2.6925 8.0504 90.00 90.00 90.00
Closest atoms and distances in Å follow each position.
Sites, in units of the cell vectors:
Fe1 0.0000 0.0000 0.0000  4 Re 2.53, 4 W 2.67, 4 Fe 2.69
Re1 0.5000 0.5000 0.2073  4 Fe 2.53, 4 Re 2.69
W1 0.0000 0.0000 0.4838  8 W 2.69-2.97, 4 Re 2.93
W2 0.5000 0.5000 0.7671  4 Fe 2.67, 8 W 2.69-2.97

Summary:
Uncorrected energy: -11.5362 eV/atom
Volume: 14.6 A^3/atom

***

Entry 3:
This record from the Alexandria database describes a relaxed FeReW2 crystal. The functional is PBE-GGA.

Lattice parameters (Å, degrees): 9.1929 2.7556 4.7148 90.00 101.04 90.00
Closest atoms and distances in Å follow each position.
Sites, in units of the cell vectors:
Fe1 0.0000 0.0000 0.0000  2 Re 2.59, 7 W 2.63-2.82, 2 Fe 2.76
Fe2 0.5000 0.5000 0.0000  2 Re 2.59, 7 W 2.63-2.82, 2 Fe 2.76
Re1 0.2706 0.0000 0.7574  2 Fe 2.59, 7 W 2.66-2.84, 2 Re 2.76
Re2 0.7706 0.5000 0.7574  2 Fe 2.59, 7 W 2.66-2.84, 2 Re 2.76
W1 0.0063 0.5000 0.5081  3 Re 2.66-2.84, 4 Fe 2.71-2.75, 5 W 2.71-2.91
W2 0.2380 0.5000 0.2278  3 Fe 2.63-2.82, 4 Re 2.68-2.82, 5 W 2.71-2.91
W3 0.5063 0.0000 0.5081  3 Re 2.66-2.84, 4 Fe 2.71-2.75, 5 W 2.71-2.91
W4 0.7380 0.0000 0.2278  3 Fe 2.63-2.82, 4 Re 2.68-2.82, 5 W 2.71-2.91

Summary:
Uncorrected energy: -11.4757 eV/atom
Volume: 14.7 A^3/atom

***

Entry 4:
This record from the Alexandria database describes a relaxed FeRe2W crystal. The functional is PBE-GGA.

Lattice parameters (Å, degrees): 3.1240 3.1240 5.9311 90.00 90.00 90.00
Closest atoms and distances in Å follow each position.
Sites, in units of the cell vectors:
Fe1 0.0000 0.0000 0.0000  4 Re 2.60, 4 W 2.60
Re1 0.0000 0.0000 0.4988  4 Re 2.72, 4 W 2.73, 2 Fe 2.96-2.97
Re2 0.5000 0.5000 0.2302  4 Fe 2.60, 4 Re 2.72, 1 W 2.74
W1 0.5000 0.5000 0.7690  4 Fe 2.60, 5 Re 2.73-2.74

Summary:
Uncorrected energy: -11.4277 eV/atom
Volume: 14.5 A^3/atom

***

Entry 5:
This record from the Alexandria database describes a relaxed FeRe2W crystal. The functional is PBE-GGA.

Lattice parameters (Å, degrees): 9.0277 2.7374 4.7179 90.00 100.46 90.00
Closest atoms and distances in Å follow each position.
Sites, in units of the cell vectors:
Fe1 0.0000 0.0000 0.0000  6 Re 2.62-2.79, 4 W 2.73, 2 Fe 2.74
Fe2 0.5000 0.5000 0.0000  6 Re 2.62-2.79, 4 W 2.73, 2 Fe 2.74
Re1 0.2383 0.5000 0.2349  3 Fe 2.62-2.79, 6 Re 2.65-2.83, 3 W 2.68-2.82
Re2 0.2617 0.0000 0.7651  3 Fe 2.62-2.79, 6 Re 2.65-2.83, 3 W 2.68-2.82
Re3 0.7383 0.0000 0.2349  3 Fe 2.62-2.79, 6 Re 2.65-2.83, 3 W 2.68-2.82
Re4 0.7617 0.5000 0.7651  3 Fe 2.62-2.79, 6 Re 2.65-2.83, 3 W 2.68-2.82
W1 0.0000 0.5000 0.5000  6 Re 2.68-2.82, 4 Fe 2.73, 2 W 2.74
W2 0.5000 0.0000 0.5000  6 Re 2.68-2.82, 4 Fe 2.73, 2 W 2.74

Summary:
Uncorrected energy: -11.4270 eV/atom
Volume: 14.3 A^3/atom

***

Entry 6:
This record from the Alexandria database describes a relaxed Fe2ReW crystal. The functional is PBE-GGA.

Lattice parameters (Å, degrees): 3.7836 3.7836 7.5092 90.00 90.00 90.00
Closest atoms and distances in Å follow each position.
Sites, in units of the cell vectors:
Fe1 0.0000 0.0000 0.0000  4 Re 2.67, 4 Fe 2.67, 4 W 2.68
Fe2 0.0000 0.5000 0.2500  4 Fe 2.67, 4 W 2.67, 4 Re 2.68
Fe3 0.5000 0.0000 0.7500  4 W 2.67, 4 Fe 2.67, 4 Re 2.68
Fe4 0.5000 0.5000 0.5000  4 Fe 2.67, 4 Re 2.67, 4 W 2.68
Re1 0.0000 0.5000 0.7500  4 W 2.67, 8 Fe 2.67-2.68
Re2 0.5000 0.0000 0.2500  8 Fe 2.67-2.68, 4 W 2.67
W1 0.0000 0.0000 0.5000  8 Fe 2.67-2.68, 4 Re 2.67
W2 0.5000 0.5000 0.0000  8 Fe 2.67-2.68, 4 Re 2.67

Summary:
Uncorrected energy: -10.4468 eV/atom
Volume: 13.4 A^3/atom

***

Repeat the fifth record exactly.
This record from the Alexandria database describes a relaxed FeRe2W crystal. The functional is PBE-GGA.

Lattice parameters (Å, degrees): 9.0277 2.7374 4.7179 90.00 100.46 90.00
Closest atoms and distances in Å follow each position.
Sites, in units of the cell vectors:
Fe1 0.0000 0.0000 0.0000  6 Re 2.62-2.79, 4 W 2.73, 2 Fe 2.74
Fe2 0.5000 0.5000 0.0000  6 Re 2.62-2.79, 4 W 2.73, 2 Fe 2.74
Re1 0.2383 0.5000 0.2349  3 Fe 2.62-2.79, 6 Re 2.65-2.83, 3 W 2.68-2.82
Re2 0.2617 0.0000 0.7651  3 Fe 2.62-2.79, 6 Re 2.65-2.83, 3 W 2.68-2.82
Re3 0.7383 0.0000 0.2349  3 Fe 2.62-2.79, 6 Re 2.65-2.83, 3 W 2.68-2.82
Re4 0.7617 0.5000 0.7651  3 Fe 2.62-2.79, 6 Re 2.65-2.83, 3 W 2.68-2.82
W1 0.0000 0.5000 0.5000  6 Re 2.68-2.82, 4 Fe 2.73, 2 W 2.74
W2 0.5000 0.0000 0.5000  6 Re 2.68-2.82, 4 Fe 2.73, 2 W 2.74

Summary:
Uncorrected energy: -11.4270 eV/atom
Volume: 14.3 A^3/atom